## Zn2CoCl (PBE)

Data for a relaxed Zn2CoCl crystal.

Computed properties:
E_form (uncorrected): 0.32 eV per atom
M_tot: 1.8 μB per formula unit
Volume: 128.0 Å³ per cell

Lattice parameters (Å, degrees): 3.5789 3.5789 9.9957 90.00 90.00 90.00
Last column: nearest neighbours and their distance in Å.
Fractional positions:
1 Zn 0.0000 0.5000 0.2500  4 Zn 2.53
2 Zn 0.0000 0.5000 0.7500  4 Zn 2.53
3 Zn 0.5000 0.0000 0.2500  4 Zn 2.53
4 Zn 0.5000 0.0000 0.7500  4 Zn 2.53
5 Co 0.0000 0.0000 0.0000  4 Cl 2.53
6 Co 0.5000 0.5000 0.5000  4 Cl 2.53
7 Cl 0.0000 0.0000 0.5000  4 Co 2.53
8 Cl 0.5000 0.5000 0.0000  4 Co 2.53